{
  "formula": "CsBi2RhC",
  "functional": "GGA-PBEsol",
  "state": "relaxed",
  "e_tot_ev_per_atom": -4.05,
  "magmom_total_mub_per_cell": 0.00,
  "e_form_ev_per_atom": 1.406,
  "spacegroup": "P4/mmm",
  "cell": [[4.8742, 0.0000, 0.0000], [0.0000, 4.8742, 0.0000], [0.0000, 0.0000, 5.1675]],
  "species": ["Cs", "Bi", "Bi", "Rh", "C"],
  "fractional_positions": [[0.0000, 0.0000, 0.0000], [0.0000, 0.5000, 0.5000], [0.5000, 0.0000, 0.5000], [0.5000, 0.5000, 0.0000], [0.0000, 0.0000, 0.5000]]
}

{
  "formula": "NbCuBi2C",
  "functional": "GGA-PBEsol",
  "state": "relaxed",
  "e_tot_ev_per_atom": -5.47,
  "magmom_total_mub_per_cell": 0.00,
  "e_form_ev_per_atom": 1.206,
  "spacegroup": "P4/mmm",
  "cell": [[5.4911, 0.0000, 0.0000], [0.0000, 5.4911, 0.0000], [0.0000, 0.0000, 3.9979]],
  "species": ["Nb", "Cu", "Bi", "Bi", "C"],
  "fractional_positions": [[0.0000, 0.0000, 0.0000], [0.5000, 0.5000, 0.5000], [0.0000, 0.5000, 0.0000], [0.5000, 0.0000, 0.0000], [0.0000, 0.0000, 0.5000]]
}

{
  "formula": "BiC2F",
  "functional": "GGA-PBEsol",
  "state": "relaxed",
  "e_tot_ev_per_atom": -5.07,
  "e_form_raw_mev_per_atom": 1308,
  "magmom_total_mub_per_cell": 0.00,
  "spacegroup": "I4_1/amd",
  "cell": [[3.2535, 0.0000, 0.0000], [0.0000, 3.2535, 0.0000], [0.0000, 0.0000, 19.9256]],
  "species": ["Bi", "Bi", "Bi", "Bi", "C", "C", "C", "C", "C", "C", "C", "C", "F", "F", "F", "F"],
  "fractional_positions": [[0.0000, 0.2500, 0.3750], [0.0000, 0.7500, 0.6250], [0.5000, 0.2500, 0.1250], [0.5000, 0.7500, 0.8750], [0.0000, 0.0000, 0.0000], [0.0000, 0.5000, 0.0000], [0.2500, 0.2500, 0.7500], [0.2500, 0.7500, 0.2500], [0.5000, 0.0000, 0.5000], [0.5000, 0.5000, 0.5000], [0.7500, 0.2500, 0.7500], [0.7500, 0.7500, 0.2500], [0.0000, 0.2500, 0.8750], [0.0000, 0.7500, 0.1250], [0.5000, 0.2500, 0.6250], [0.5000, 0.7500, 0.3750]]
}

no.,volume (Å³/atom)
1,24.554
2,24.110
3,13.182